A geometry-optimized HfAgOs2 structure. Source: OQMD via LeMat-Bulk, functional PBE.

Structure (POSCAR):
```
HfAgOs2
1.0
4.3995 -0.2634 1.0972
1.5032 -3.4484 2.5452
2.6138 -3.2193 -1.8529
Ag Os Hf
1 2 1
Cartesian
6.3874 -5.1983 1.3421 Ag
2.1291 -1.7328 0.4474 Os
0.0000 0.0000 0.0000 Os
4.2583 -3.4656 0.8947 Hf
```

**ΔE_f**: 0.342 eV/atom

A geometry-optimized InSiAgTe2S structure. Source: OQMD via LeMat-Bulk, functional PBE.

Structure (POSCAR):
```
InSiAgTe2S
1.0
1.9664 -6.4679 0.0000
1.9664 6.4679 0.0000
0.0000 0.0000 11.5567
Ag Te S In Si
2 4 2 2 2
Cartesian
1.9664 -4.6334 2.8892 Ag
1.9664 4.6334 8.6675 Ag
1.9664 4.5453 11.3972 Te
1.9664 -4.5453 0.1595 Te
1.9664 -4.5453 5.6188 Te
1.9664 4.5453 5.9379 Te
1.9664 0.2738 8.6675 S
1.9664 -0.2738 2.8892 S
1.9664 -4.2479 8.6675 In
1.9664 4.2479 2.8892 In
1.9664 0.0000 0.0000 Si
1.9664 0.0000 5.7784 Si
```

**E**: -3.5765 eV per atom

A geometry-optimized BaCdInPtPb structure. Source: OQMD via LeMat-Bulk, functional PBE.

Structure (POSCAR):
```
BaCdInPtPb
1.0
5.0402 0.0000 0.0000
0.0000 5.0402 0.0000
0.0000 0.0000 11.3776
In Cd Pb Ba Pt
2 2 2 2 2
Cartesian
2.5201 0.0000 1.0350 In
0.0000 2.5201 10.3425 In
0.0000 2.5201 7.4632 Cd
2.5201 0.0000 3.9144 Cd
0.0000 0.0000 5.6888 Pb
2.5201 2.5201 5.6888 Pb
2.5201 0.0000 8.8334 Ba
0.0000 2.5201 2.5441 Ba
0.0000 0.0000 0.0000 Pt
2.5201 2.5201 0.0000 Pt
```

**Polymorph energy (0 for the lowest one)**: 0.059 eV per atom

A geometry-optimized Ho3TaSe5 structure. Source: OQMD via LeMat-Bulk, functional PBE.

Structure (POSCAR):
```
Ho3TaSe5
1.0
5.8220 0.0000 0.0000
0.0000 7.3360 0.0000
-0.6286 0.0000 5.7912
Se Ho Ta
5 3 1
Cartesian
3.5446 5.4431 4.6475 Se
1.6488 5.4431 1.1437 Se
-0.3143 7.0196 2.8956 Se
0.9938 2.1228 4.3681 Se
4.1996 2.1228 1.4231 Se
0.0000 0.1745 0.0000 Ho
-0.3143 4.2524 2.8956 Ho
2.5967 0.1919 2.8956 Ho
2.9110 3.6740 0.0000 Ta
```

**E**: -5.8099 eV per atom

A geometry-optimized Cs2Rb2HgBi2 structure. Source: OQMD via LeMat-Bulk, functional PBE.

Structure (POSCAR):
```
Cs2Rb2HgBi2
1.0
3.2230 1.8608 10.6329
-3.2230 1.8608 10.6329
0.0000 -3.7216 10.6329
Bi Hg Cs Rb
2 1 2 2
Cartesian
0.0000 0.0000 29.1119 Bi
0.0000 0.0000 2.7869 Bi
0.0000 0.0000 0.0000 Hg
0.0000 0.0000 6.6426 Cs
0.0000 0.0000 25.2561 Cs
0.0000 0.0000 19.6861 Rb
0.0000 0.0000 12.2127 Rb
```

**E**: -2.1149 eV per atom

A geometry-optimized CsRbPdSe2S structure. Source: OQMD via LeMat-Bulk, functional PBE.

Structure (POSCAR):
```
CsRbPdSe2S
1.0
6.8735 -3.4438 0.0000
6.8735 3.4438 0.0000
-5.2654 0.0000 8.7847
Se Rb S Cs Pd
4 2 2 2 2
Cartesian
6.4251 0.0000 3.4962 Se
6.8735 -1.9999 0.0000 Se
2.0565 0.0000 5.2885 Se
6.8735 1.9999 0.0000 Se
-0.8164 0.0000 3.3331 Rb
9.2979 0.0000 5.4516 Rb
9.6391 0.0000 2.1157 S
-1.1576 0.0000 6.6691 S
5.1903 0.0000 7.2767 Cs
3.2913 0.0000 1.5081 Cs
7.5044 0.0000 1.3616 Pd
0.9772 0.0000 7.4232 Pd
```

**E**: -3.5890 eV per atom

A geometry-optimized Er4CuNi3 structure. Source: OQMD via LeMat-Bulk, functional PBE.

Structure (POSCAR):
```
Er4CuNi3
1.0
5.3243 0.0000 0.0000
0.0000 4.2853 0.0000
-0.0111 0.0000 6.8973
Ni Er Cu
3 4 1
Cartesian
3.3529 0.0000 3.6991 Ni
4.6379 0.0000 0.2305 Ni
1.9566 2.1427 3.2080 Ni
1.9594 0.0000 1.2978 Er
3.3856 2.1427 5.6120 Er
0.7059 0.0000 4.6579 Er
4.5805 2.1427 2.2209 Er
0.6738 2.1427 6.6632 Cu
```

**ΔE_f**: -0.445 eV/atom

A geometry-optimized Gd3Mg3ZnHg2 structure. Source: OQMD via LeMat-Bulk, functional PBE.

Structure (POSCAR):
```
Gd3Mg3ZnHg2
1.0
-0.3514 6.9732 3.5308
-5.9970 -2.4781 -4.3715
-1.7054 -1.7820 3.3496
Mg Zn Hg Gd
3 1 2 3
Cartesian
-5.3913 -2.7664 -1.6336 Mg
-2.3966 0.2022 1.4703 Mg
-1.1186 4.3864 4.3469 Mg
0.0000 0.0000 0.0000 Zn
-3.0860 2.9318 2.5715 Hg
-4.9678 -0.2186 -0.0626 Hg
-0.1429 2.8356 1.4358 Gd
-3.7669 2.6672 -0.4989 Gd
-2.4387 -1.0077 -1.7777 Gd
```

**E**: -2.6396 eV per atom